Cd2Hg2Sb: relaxed, PBE.

Cell lengths 8.695, 8.695, 3.312 Å; angles 90.00, 90.00, 90.00 degrees
Element x y z (fractional)
Sb 0.000 0.000 0.000
Sb 0.500 0.500 0.000
Hg 0.322 0.822 0.000
Hg 0.822 0.678 0.000
Hg 0.678 0.178 0.000
Hg 0.178 0.322 0.000
Cd 0.123 0.623 0.500
Cd 0.623 0.877 0.500
Cd 0.877 0.377 0.500
Cd 0.377 0.123 0.500

Energy above the lowest structure with this stoichiometry: 25 meV/atom
Total magnetization: 0.000 μB/cell
Raw formation energy: 0.11 eV/atom
DOS at the Fermi energy: 4.083 states/eV per cell
V: 25.038 Å³/atom
Symmetry: P4/mbm, No. 127